# 1
A plane-wave DFT calculation with PBE was carried out for a relaxed DySe2 crystal.

Cell: 4.0662 4.0662 8.3569 Å, 90.00 90.00 90.00°
Atoms (fractional coordinates):
Dy: 0.2500 0.2500 0.2264
Dy: 0.7500 0.7500 0.7736
Se: 0.2500 0.2500 0.8700
Se: 0.2500 0.7500 0.5000
Se: 0.7500 0.2500 0.5000
Se: 0.7500 0.7500 0.1300

- density of states at the Fermi level (states/eV/atom) = 0.086
- space group = No. 129
- E_form (uncorrected) (eV/f.u.) = -4.7


# 2
A plane-wave DFT calculation with PBE was carried out for a relaxed La5PrY2 crystal.

Cell: 9.1097 9.1097 9.1097 Å, 156.94 101.90 82.74°
Atoms (fractional coordinates):
La: 0.0000 0.0000 0.0000
La: 0.1024 0.3704 0.7320
La: 0.3615 0.6296 0.7320
La: 0.6385 0.3704 0.2680
La: 0.8976 0.6296 0.2680
Pr: 0.5000 0.0000 0.5000
Y: 0.2568 0.2568 0.0000
Y: 0.7432 0.7432 0.0000

- density of states at the Fermi level (states/eV/atom) = 1.518
- energy of formation (eV/atom) = 0.03
- space group = No. 71
- relative energy among the computed polymorphs (meV per atom) = 0


# 3
A plane-wave DFT calculation with PBE was carried out for a relaxed ZnInBiH2 crystal.

Cell: 3.9954 3.9954 6.3783 Å, 90.00 90.00 90.00°
Atoms (fractional coordinates):
Zn: 0.0000 0.0000 0.0000
In: 0.5000 0.5000 0.5000
Bi: 0.5000 0.5000 0.0000
H: 0.0000 0.5000 0.5000
H: 0.5000 0.0000 0.5000

- density of states at the Fermi level (states/eV/atom) = 0.250
- space group = No. 123


# 4
A plane-wave DFT calculation with PBE was carried out for a relaxed LaPr2OsC2 crystal.

Cell: 5.8551 11.4814 3.9849 Å, 90.00 90.00 90.00°
Atoms (fractional coordinates):
La: 0.0000 0.0000 0.0000
La: 0.5000 0.5000 0.5000
Pr: 0.0302 0.2955 0.5000
Pr: 0.4698 0.7955 0.0000
Pr: 0.5302 0.2045 0.0000
Pr: 0.9698 0.7045 0.5000
Os: 0.0000 0.5000 0.0000
Os: 0.5000 0.0000 0.5000
C: 0.2472 0.8890 0.5000
C: 0.2528 0.3890 0.0000
C: 0.7472 0.6110 0.0000
C: 0.7528 0.1110 0.5000

- density of states at the Fermi level (states/eV/atom) = 0.817
- energy of formation (eV/atom) = -0.03
- space group = No. 58


# 5
A plane-wave DFT calculation with PBE was carried out for a relaxed CuNiMo2 crystal.

Cell: 4.7633 4.7633 2.6182 Å, 90.00 90.00 113.42°
Atoms (fractional coordinates):
Cu: 0.0000 0.0000 0.0000
Ni: 0.5000 0.5000 0.0000
Mo: 0.0000 0.5000 0.5000
Mo: 0.5000 0.0000 0.5000

- density of states at the Fermi level (states/eV/atom) = 1.195
- energy of formation (eV/atom) = 0.14
- space group = No. 65


# 6
A plane-wave DFT calculation with PBE was carried out for a relaxed Pm3Tc crystal.

Cell: 6.1623 6.1623 8.0904 Å, 99.58 99.58 124.15°
Atoms (fractional coordinates):
Pm: 0.0571 0.7230 0.7812
Pm: 0.2770 0.9429 0.2188
Pm: 0.3195 0.3195 0.6391
Pm: 0.6805 0.6805 0.3609
Pm: 0.7230 0.0571 0.7812
Pm: 0.9429 0.2770 0.2188
Tc: 0.3879 0.6121 0.0000
Tc: 0.6121 0.3879 0.0000

- density of states at the Fermi level (states/eV/atom) = 1.213
- energy of formation (eV/atom) = 0.23
- space group = No. 12
- relative energy among the computed polymorphs (meV per atom) = 111


# 7
A plane-wave DFT calculation with PBE was carried out for a relaxed Mg3Zn3Ga8 crystal.

Cell: 8.0728 8.0728 8.0728 Å, 149.35 101.92 86.17°
Atoms (fractional coordinates):
Mg: 0.0000 0.0000 0.0000
Mg: 0.2886 0.2886 0.0000
Mg: 0.7114 0.7114 0.0000
Zn: 0.3404 0.5000 0.8404
Zn: 0.5000 0.0000 0.5000
Zn: 0.6596 0.5000 0.1596
Ga: 0.0105 0.6398 0.3707
Ga: 0.1427 0.8551 0.2876
Ga: 0.2691 0.6398 0.6293
Ga: 0.4325 0.1449 0.2876
Ga: 0.5675 0.8551 0.7124
Ga: 0.7309 0.3602 0.3707
Ga: 0.8573 0.1449 0.7124
Ga: 0.9895 0.3602 0.6293

- density of states at the Fermi level (states/eV/atom) = 0.264
- energy of formation (eV/atom) = -0.07
- space group = No. 71


# 8
A plane-wave DFT calculation with PBE was carried out for a relaxed Cd2C crystal.

Cell: 5.7188 5.7188 5.7188 Å, 34.37 34.37 34.37°
Atoms (fractional coordinates):
Cd: 0.0000 0.0000 0.0000
Cd: 0.1810 0.1810 0.1810
C: 0.7578 0.7578 0.7578

- density of states at the Fermi level (states/eV/atom) = 0.578
- energy of formation (eV/atom) = 1.36
- space group = No. 160
- relative energy among the computed polymorphs (meV per atom) = 620


| no. | raw total energy (eV/atom) |
| --- | --- |
| 1 | -5.422 |
| 2 | -5.263 |
| 3 | -2.634 |
| 4 | -7.386 |
| 5 | -7.744 |
| 6 | -5.927 |
| 7 | -2.413 |
| 8 | -2.321 |